Below is a relaxed BaGaP2Se8 crystal, with properties calculated at the GGA-PBE level.

Cell: 6.277 6.277 9.399 Å, 90.00 90.00 120.00°
Element x y z (fractional)
Ba 0.000 0.000 0.000
Ga 0.000 0.000 0.500
P 0.333 0.667 0.742
P 0.667 0.333 0.258
Se 0.010 0.688 0.317
Se 0.312 0.321 0.317
Se 0.321 0.010 0.683
Se 0.333 0.667 0.977
Se 0.667 0.333 0.023
Se 0.679 0.990 0.317
Se 0.688 0.679 0.683
Se 0.990 0.312 0.683

## Properties
DOS(E_F) = 12.70 states/eV/cell
Volume = 320.8 Å³ per cell
Uncorrected energy = -4.058 eV per atom
Formation energy without anion corrections = -421 meV/atom

***

Below is a relaxed BaGaTcP crystal, with properties calculated at the GGA-PBE level.

Cell: 3.997 3.997 12.362 Å, 90.00 90.00 90.00°
Element x y z (fractional)
Ba 0.250 0.250 0.247
Ba 0.750 0.750 0.753
Ga 0.250 0.750 0.500
Ga 0.750 0.250 0.500
Tc 0.250 0.750 0.000
Tc 0.750 0.250 0.000
P 0.250 0.250 0.893
P 0.750 0.750 0.107

## Properties
DOS(E_F) = 7.08 states/eV/cell
Energy relative to the elements = -214 kJ/mol of formula units
Volume = 197.5 Å³ per cell
Uncorrected energy = -5.736 eV per atom

***

Below is a relaxed BaYGaP2 crystal, with properties calculated at the GGA-PBE level.

Cell: 5.528 5.528 6.135 Å, 90.00 90.00 90.00°
Element x y z (fractional)
Ba 0.000 0.000 0.000
Y 0.000 0.000 0.500
Ga 0.500 0.500 0.500
P 0.000 0.500 0.000
P 0.500 0.000 0.000

## Properties
DOS(E_F) = 7.15 states/eV/cell
Energy relative to the elements = 596 kJ/mol of formula units
Volume = 187.5 Å³ per cell
Uncorrected energy = -3.211 eV per atom

***

Below is a relaxed BaPaGa2 crystal, with properties calculated at the GGA-PBE level.

Cell: 3.419 3.419 8.970 Å, 90.00 90.00 90.00°
Element x y z (fractional)
Ba 0.000 0.000 0.000
Pa 0.000 0.000 0.500
Ga 0.500 0.500 0.282
Ga 0.500 0.500 0.718

## Properties
DOS(E_F) = 5.53 states/eV/cell
Energy relative to the elements = -65 kJ/mol of formula units
Volume = 104.9 Å³ per cell
Uncorrected energy = -4.536 eV per atom

***

Below is a relaxed BaPaGa2 crystal, with properties calculated at the GGA-PBE level.

Cell: 11.834 11.834 11.834 Å, 15.94 15.94 15.94°
Element x y z (fractional)
Ba 0.000 0.000 0.000
Pa 0.500 0.500 0.500
Ga 0.094 0.094 0.094
Ga 0.906 0.906 0.906

## Properties
DOS(E_F) = 5.11 states/eV/cell
Energy relative to the elements = 117 kJ/mol of formula units
Volume = 109.0 Å³ per cell
Uncorrected energy = -4.065 eV per atom

***

Below is a relaxed Ba2PaGaS6 crystal, with properties calculated at the GGA-PBE level.

Cell: 7.103 7.144 12.303 Å, 90.00 125.04 90.00°
Element x y z (fractional)
Ba 0.239 0.041 0.248
Ba 0.239 0.459 0.748
Ba 0.761 0.541 0.252
Ba 0.761 0.959 0.752
Pa 0.500 0.000 0.000
Pa 0.500 0.500 0.500
Ga 0.000 0.000 0.500
Ga 0.000 0.500 0.000
S 0.179 0.223 0.969
S 0.179 0.277 0.469
S 0.247 0.709 0.970
S 0.247 0.791 0.470
S 0.302 0.004 0.743
S 0.302 0.496 0.243
S 0.698 0.504 0.757
S 0.698 0.996 0.257
S 0.753 0.209 0.530
S 0.753 0.291 0.030
S 0.821 0.723 0.531
S 0.821 0.777 0.031

## Properties
Volume = 511.1 Å³ per cell
Uncorrected energy = -5.677 eV per atom
Formation energy without anion corrections = -1564 meV/atom

***

Below is a relaxed Ba2PaGaSe6 crystal, with properties calculated at the GGA-PBE level.

Cell: 7.378 7.559 12.839 Å, 90.00 124.74 90.00°
Element x y z (fractional)
Ba 0.230 0.062 0.247
Ba 0.230 0.438 0.747
Ba 0.770 0.562 0.253
Ba 0.770 0.938 0.753
Pa 0.500 0.000 0.000
Pa 0.500 0.500 0.500
Ga 0.000 0.000 0.500
Ga 0.000 0.500 0.000
Se 0.163 0.212 0.963
Se 0.163 0.288 0.463
Se 0.252 0.700 0.963
Se 0.252 0.800 0.463
Se 0.315 0.004 0.744
Se 0.315 0.496 0.244
Se 0.685 0.504 0.756
Se 0.685 0.996 0.256
Se 0.748 0.200 0.537
Se 0.748 0.300 0.037
Se 0.837 0.712 0.537
Se 0.837 0.788 0.037

## Properties
Volume = 588.4 Å³ per cell
Uncorrected energy = -5.138 eV per atom
Formation energy without anion corrections = -1411 meV/atom

***

Below is a relaxed Ba2PaGaSe5 crystal, with properties calculated at the GGA-PBE level.

Cell: 9.629 9.629 13.208 Å, 90.00 90.00 153.09°
Element x y z (fractional)
Ba 0.117 0.883 0.500
Ba 0.124 0.876 0.134
Ba 0.876 0.124 0.634
Ba 0.883 0.117 0.000
Pa 0.201 0.799 0.829
Pa 0.799 0.201 0.329
Ga 0.446 0.554 0.254
Ga 0.554 0.446 0.754
Se 0.045 0.955 0.841
Se 0.296 0.704 0.471
Se 0.310 0.690 0.182
Se 0.350 0.650 0.819
Se 0.499 0.501 0.085
Se 0.501 0.499 0.585
Se 0.650 0.350 0.319
Se 0.690 0.310 0.682
Se 0.704 0.296 0.971
Se 0.955 0.045 0.341

## Properties
DOS(E_F) = 12.81 states/eV/cell
Volume = 554.3 Å³ per cell
Uncorrected energy = -5.214 eV per atom
Formation energy without anion corrections = -1459 meV/atom

***

Below is a relaxed BaGaPb2 crystal, with properties calculated at the GGA-PBE level.

Cell: 6.721 6.721 6.721 Å, 44.87 44.87 44.87°
Element x y z (fractional)
Ba 0.000 0.000 0.000
Ga 0.500 0.500 0.500
Pb 0.212 0.212 0.212
Pb 0.788 0.788 0.788

## Properties
DOS(E_F) = 2.28 states/eV/cell
Energy relative to the elements = -99 kJ/mol of formula units
Volume = 137.5 Å³ per cell
Uncorrected energy = -3.349 eV per atom

***

Below is a relaxed BaGaPb crystal, with properties calculated at the GGA-PBE level.

Cell: 4.778 4.778 5.196 Å, 90.00 90.00 120.00°
Element x y z (fractional)
Ba 0.000 0.000 0.000
Ga 0.333 0.667 0.600
Pb 0.667 0.333 0.454

## Properties
DOS(E_F) = 1.61 states/eV/cell
Energy relative to the elements = -130 kJ/mol of formula units
Volume = 102.7 Å³ per cell
Uncorrected energy = -3.336 eV per atom

***

Below is a relaxed Ba2GaPb3 crystal, with properties calculated at the GGA-PBE level.

Cell: 6.958 6.958 8.255 Å, 125.82 125.82 42.41°
Element x y z (fractional)
Ba 0.000 0.000 0.000
Ba 0.122 0.122 0.623
Ga 0.401 0.401 0.596
Pb 0.405 0.405 0.233
Pb 0.710 0.710 0.008
Pb 0.736 0.736 0.424

## Properties
DOS(E_F) = 3.22 states/eV/cell
Energy relative to the elements = -245 kJ/mol of formula units
Volume = 209.8 Å³ per cell
Uncorrected energy = -3.423 eV per atom

***

Below is a relaxed BaGaPb crystal, with properties calculated at the GGA-PBE level.

Cell: 4.411 4.667 10.100 Å, 103.28 96.26 90.09°
Element x y z (fractional)
Ba 0.000 0.000 0.000
Ba 0.088 0.200 0.403
Ga 0.463 0.439 0.880
Ga 0.925 0.367 0.731
Pb 0.478 0.832 0.665
Pb 0.544 0.597 0.197

## Properties
DOS(E_F) = 3.10 states/eV/cell
Energy relative to the elements = -108 kJ/mol of formula units
Volume = 201.1 Å³ per cell
Uncorrected energy = -3.258 eV per atom

***

Below is a relaxed BaGaPb crystal, with properties calculated at the GGA-PBE level.

Cell: 9.097 9.097 4.583 Å, 104.31 104.31 33.42°
Element x y z (fractional)
Ba 0.114 0.114 0.339
Ba 0.886 0.886 0.661
Ga 0.466 0.466 0.217
Ga 0.534 0.534 0.783
Pb 0.298 0.298 0.150
Pb 0.702 0.702 0.850

## Properties
DOS(E_F) = 3.64 states/eV/cell
Energy relative to the elements = -124 kJ/mol of formula units
Volume = 201.8 Å³ per cell
Uncorrected energy = -3.315 eV per atom

***

Below is a relaxed Ba2GaPb2 crystal, with properties calculated at the GGA-PBE level.

Cell: 7.051 7.051 12.607 Å, 115.04 115.04 42.02°
Element x y z (fractional)
Ba 0.104 0.104 0.406
Ba 0.291 0.291 0.843
Ba 0.709 0.709 0.157
Ba 0.896 0.896 0.594
Ga 0.476 0.476 0.211
Ga 0.524 0.524 0.789
Pb 0.070 0.070 0.930
Pb 0.383 0.383 0.380
Pb 0.617 0.617 0.620
Pb 0.930 0.930 0.070

## Properties
DOS(E_F) = 5.47 states/eV/cell
Energy relative to the elements = -230 kJ/mol of formula units
Volume = 373.9 Å³ per cell
Uncorrected energy = -3.335 eV per atom

***

Below is a relaxed Ba2Ga3Pb crystal, with properties calculated at the GGA-PBE level.

Cell: 8.860 8.860 8.860 Å, 150.12 146.74 45.31°
Element x y z (fractional)
Ba 0.000 0.000 0.000
Ba 0.761 0.261 0.500
Ga 0.181 0.681 0.500
Ga 0.340 0.840 0.500
Ga 0.412 0.412 0.000
Pb 0.587 0.587 0.000

## Properties
DOS(E_F) = 5.76 states/eV/cell
Energy relative to the elements = -239 kJ/mol of formula units
Volume = 189.4 Å³ per cell
Uncorrected energy = -3.185 eV per atom

***

Below is a relaxed BaGa2Pb crystal, with properties calculated at the GGA-PBE level.

Cell: 6.594 6.594 6.594 Å, 43.18 43.18 43.18°
Element x y z (fractional)
Ba 0.000 0.000 0.000
Ga 0.226 0.226 0.226
Ga 0.774 0.774 0.774
Pb 0.500 0.500 0.500

## Properties
DOS(E_F) = 0.99 states/eV/cell
Energy relative to the elements = -109 kJ/mol of formula units
Volume = 121.7 Å³ per cell
Uncorrected energy = -3.203 eV per atom

***

Below is a relaxed BaGaPb crystal, with properties calculated at the GGA-PBE level.

Cell: 6.862 6.862 6.862 Å, 146.88 146.88 47.54°
Element x y z (fractional)
Ba 0.000 0.000 0.000
Ga 0.684 0.684 0.000
Pb 0.295 0.295 0.000

## Properties
DOS(E_F) = 2.04 states/eV/cell
Energy relative to the elements = -88 kJ/mol of formula units
Volume = 96.1 Å³ per cell
Uncorrected energy = -3.189 eV per atom

***

Below is a relaxed BaGaPb2 crystal, with properties calculated at the GGA-PBE level.

Cell: 10.941 10.941 10.941 Å, 151.42 151.42 40.85°
Element x y z (fractional)
Ba 0.000 0.000 0.000
Ba 0.750 0.250 0.500
Ga 0.250 0.750 0.500
Ga 0.500 0.500 0.000
Pb 0.224 0.625 0.099
Pb 0.375 0.474 0.599
Pb 0.526 0.125 0.901
Pb 0.875 0.776 0.401

## Properties
DOS(E_F) = 3.48 states/eV/cell
Energy relative to the elements = -57 kJ/mol of formula units
Volume = 299.1 Å³ per cell
Uncorrected energy = -3.240 eV per atom

***

Below is a relaxed BaGaPb2 crystal, with properties calculated at the GGA-PBE level.

Cell: 4.957 4.957 5.161 Å, 90.00 90.00 90.00°
Element x y z (fractional)
Ba 0.000 0.000 0.000
Ga 0.500 0.500 0.000
Pb 0.000 0.500 0.500
Pb 0.500 0.000 0.500

## Properties
DOS(E_F) = 2.79 states/eV/cell
Energy relative to the elements = -99 kJ/mol of formula units
Volume = 126.8 Å³ per cell
Uncorrected energy = -3.347 eV per atom

***

Below is a relaxed Ba3GaPb crystal, with properties calculated at the GGA-PBE level.

Cell: 10.125 10.125 10.201 Å, 93.16 93.16 24.85°
Element x y z (fractional)
Ba 0.045 0.045 0.171
Ba 0.252 0.252 0.809
Ba 0.394 0.394 0.439
Ba 0.606 0.606 0.561
Ba 0.748 0.748 0.191
Ba 0.955 0.955 0.829
Ga 0.221 0.221 0.454
Ga 0.779 0.779 0.546
Pb 0.388 0.388 0.083
Pb 0.612 0.612 0.917

## Properties
DOS(E_F) = 5.91 states/eV/cell
Energy relative to the elements = -186 kJ/mol of formula units
Volume = 438.7 Å³ per cell
Uncorrected energy = -2.886 eV per atom